TlGeP: relaxed, PBE-GGA.

Computed properties:
DOS(E_F)   1.64 states/eV per cell
Energy relative to the elements   0.0286 eV/atom
E   -4.10 eV per atom

abc: 3.6563 3.6576 13.1895
angles: 70.37 82.03 60.01
Element x y z (fractional)
Ge  0.5883  0.0748  0.7487
Tl  0.2856  0.3932  0.0357
P  0.0015  0.5325  0.4644
Tl  0.6539  0.4205  0.2717
Ge  0.3512  0.7390  0.5586
P  0.9379  0.2812  0.8429